VASP calculation (meta-GGA SCAN) on a PBEsol-optimized structure of In2TcTe.

Unit cell a=3.185 b=3.185 c=9.962 alpha=80.80 beta=80.80 gamma=60.00
Last column: magnetic moment on the atom in μB.
Positions (direct):
Tc  0.500  0.500  0.500  0.27
In  0.764  0.764  0.709  -0.02
In  0.236  0.236  0.291  -0.02
Te  0.000  0.000  0.000  0.00

space-group type	R-3m, No. 166
total moment	0.2	μB/cell
E	-34.36	eV per atom
formation energy (no corrections)	0.409	eV per atom

VASP calculation (meta-GGA SCAN) on a PBEsol-optimized structure of CrHgBr.

Unit cell a=4.725 b=4.725 c=4.725 alpha=60.00 beta=60.00 gamma=60.00
Last column: magnetic moment on the atom in μB.
Positions (direct):
Hg  0.000  0.000  0.000  0.10
Br  0.500  0.500  0.500  0.03
Cr  0.750  0.750  0.750  4.23

space-group type	F-43m, No. 216
total moment	5.0	μB/cell
E	-35.43	eV per atom
formation energy (no corrections)	-0.089	eV per atom

VASP calculation (meta-GGA SCAN) on a PBEsol-optimized structure of Sr2Cd2In.

Unit cell a=4.482 b=8.230 c=8.230 alpha=90.00 beta=90.00 gamma=90.00
Positions (direct):
In  0.000  0.500  0.500
In  0.000  0.000  0.000
Sr  0.500  0.322  0.178
Sr  0.500  0.822  0.322
Sr  0.500  0.678  0.822
Sr  0.500  0.178  0.678
Cd  0.000  0.123  0.377
Cd  0.000  0.623  0.123
Cd  0.000  0.877  0.623
Cd  0.000  0.377  0.877

energy of formation from the pure elements	-0.393	eV per atom
space-group type	P4/mbm, No. 127
total moment	0.0	μB/cell
E	-28.15	eV per atom

VASP calculation (meta-GGA SCAN) on a PBEsol-optimized structure of LiMn2BO.

Unit cell a=3.389 b=4.151 c=4.151 alpha=90.00 beta=90.00 gamma=90.00
Last column: magnetic moment on the atom in μB.
Positions (direct):
Li  0.000  0.000  0.000  -0.20
B  0.500  0.000  0.000  -0.36
Mn  0.000  0.000  0.500  4.09
Mn  0.000  0.500  0.000  4.09
O  0.500  0.500  0.500  -0.11

space-group type	P4/mmm, No. 123
total moment	7.7	μB/cell
E	-9.50	eV per atom
formation energy (no corrections)	1.009	eV per atom

VASP calculation (meta-GGA SCAN) on a PBEsol-optimized structure of H2IrPdCl.

Unit cell a=3.386 b=3.386 c=5.188 alpha=90.00 beta=90.00 gamma=90.00
Last column: magnetic moment on the atom in μB.
Positions (direct):
Cl  0.000  0.000  0.500  0.00
Pd  0.000  0.000  0.000  -0.08
H  0.500  0.000  0.000  -0.01
H  0.000  0.500  0.000  -0.01
Ir  0.500  0.500  0.500  -0.59

space-group type	P4/mmm, No. 123
total moment	0.7	μB/cell
E	-22.91	eV per atom

VASP calculation (meta-GGA SCAN) on a PBEsol-optimized structure of CaInSi2.

Unit cell a=4.919 b=4.919 c=4.919 alpha=60.00 beta=60.00 gamma=60.00
Positions (direct):
Si  0.000  0.000  0.000
Si  0.750  0.750  0.750
Ca  0.500  0.500  0.500
In  0.250  0.250  0.250

space-group type	F-43m, No. 216
total moment	0.0	μB/cell
E	-15.48	eV per atom
formation energy (no corrections)	0.290	eV per atom

Among the records above, which one has the highest E? LiMn2BO

E of number 4 (LiMn2BO)? -9.50 eV per atom

Please write out number 4 again, unchanged.
VASP calculation (meta-GGA SCAN) on a PBEsol-optimized structure of LiMn2BO.

Unit cell a=3.389 b=4.151 c=4.151 alpha=90.00 beta=90.00 gamma=90.00
Last column: magnetic moment on the atom in μB.
Positions (direct):
Li  0.000  0.000  0.000  -0.20
B  0.500  0.000  0.000  -0.36
Mn  0.000  0.000  0.500  4.09
Mn  0.000  0.500  0.000  4.09
O  0.500  0.500  0.500  -0.11

space-group type	P4/mmm, No. 123
total moment	7.7	μB/cell
E	-9.50	eV per atom
formation energy (no corrections)	1.009	eV per atom